Record 1
Entry from Alexandria: crystalline ZnSb2P at its relaxed geometry (GGA-PBE).

Results
Crystal system   cubic
Uncorrected formation energy   379 meV per atom
Fermi-level density of states   1.69 states/eV/f.u.
Total magnetization   0.0 μB/f.u.
Energy above the lowest structure with this stoichiometry   286.3 meV per atom

Unit cell a=4.9390 b=4.9390 c=4.9390 alpha=60.00 beta=60.00 gamma=60.00
Closest atoms and distances in Å follow each position.
Fractional positions:
Zn: 0.0000 0.0000 0.0000  8 Sb 3.02
Sb: 0.2500 0.2500 0.2500  4 Zn 3.02, 4 P 3.02
Sb: 0.7500 0.7500 0.7500  4 Zn 3.02, 4 P 3.02
P: 0.5000 0.5000 0.5000  8 Sb 3.02

=====

Record 2
Entry from Alexandria: crystalline Be2TlFe at its relaxed geometry (GGA-PBE).

Results
Crystal system   orthorhombic
Fermi-level density of states   1.56 states/eV/f.u.
Total magnetization   1.3 μB/f.u.
Energy above the lowest structure with this stoichiometry   102.8 meV per atom

Unit cell a=2.7806 b=3.3955 c=5.9337 alpha=90.00 beta=90.00 gamma=90.00
Closest atoms and distances in Å follow each position.
Fractional positions:
Be: 0.0000 0.0000 0.0000  2 Be 2.14, 4 Fe 2.25
Be: 0.0000 0.5000 0.2192  2 Be 2.14, 2 Fe 2.29
Tl: 0.0000 0.0000 0.5610  3 Be 2.60-2.64, 2 Tl 2.78
Fe: 0.5000 0.5000 0.9128  6 Be 2.25-2.29

=====

Record 3
Entry from Alexandria: crystalline HfTePd2S at its relaxed geometry (GGA-PBE).

Results
Crystal system   tetragonal
Uncorrected formation energy   198 meV per atom
Fermi-level density of states   4.00 states/eV/f.u.
Total magnetization   0.0 μB/f.u.

Unit cell a=4.4448 b=4.4448 c=5.4408 alpha=90.00 beta=90.00 gamma=90.00
Closest atoms and distances in Å follow each position.
Fractional positions:
Hf: 0.0000 0.0000 0.0000  4 Te 3.14, 8 Pd 3.51
Te: 0.5000 0.5000 0.0000  2 S 2.72
Pd: 0.0000 0.5000 0.5000  2 S 2.22
Pd: 0.5000 0.0000 0.5000  2 S 2.22
S: 0.5000 0.5000 0.5000  4 Pd 2.22

=====

Record 4
Entry from Alexandria: crystalline AcMgB12 at its relaxed geometry (GGA-PBE).

Results
Crystal system   tetragonal
Raw total energy   -89.4 eV for the cell shown
Fermi-level density of states   0.88 states/eV/f.u.
Total magnetization   0.0 μB/f.u.

Unit cell a=4.1621 b=4.1621 c=8.3254 alpha=90.00 beta=90.00 gamma=90.00
Closest atoms and distances in Å follow each position.
Fractional positions:
Ac: 0.0000 0.0000 0.0000  24 B 3.06-3.08
Mg: 0.0000 0.0000 0.5000  24 B 3.04-3.06
B: 0.2008 0.5000 0.2541  5 B 1.67-1.78
B: 0.2008 0.5000 0.7459  5 B 1.67-1.78
B: 0.5000 0.2008 0.2541  5 B 1.67-1.78
B: 0.5000 0.2008 0.7459  5 B 1.67-1.78
B: 0.5000 0.5000 0.1021  5 B 1.70-1.78
B: 0.5000 0.5000 0.4013  5 B 1.64-1.75
B: 0.5000 0.5000 0.5987  5 B 1.64-1.75
B: 0.5000 0.5000 0.8979  5 B 1.70-1.78
B: 0.5000 0.7992 0.2541  5 B 1.67-1.78
B: 0.5000 0.7992 0.7459  5 B 1.67-1.78
B: 0.7992 0.5000 0.2541  5 B 1.67-1.78
B: 0.7992 0.5000 0.7459  5 B 1.67-1.78